(1)
A plane-wave DFT calculation with PBE-GGA was carried out for PuNp2PaSb4 after structural relaxation.

a = 5.6744 Å, b = 8.5776 Å, c = 5.6768 Å
α = 131.42°, β = 90.00°, γ = 90.00°
Last column: nearest neighbours and their distance in Å.
Fractional coordinates of all 8 atoms:
Sb: 0.0000 0.7487 0.2487  2 Sb 3.20-3.23, 2 Pa 3.26, 4 Np 3.26-3.27, 2 Pu 3.27
Sb: 0.0000 0.2513 0.7513  2 Sb 3.20-3.23, 2 Pa 3.26, 4 Np 3.26-3.27, 2 Pu 3.27
Sb: 0.5000 0.2513 0.2512  2 Sb 3.20-3.23, 4 Np 3.26-3.27, 2 Pa 3.26, 2 Pu 3.27
Sb: 0.5000 0.7487 0.7488  2 Sb 3.20-3.23, 4 Np 3.26-3.27, 2 Pa 3.26, 2 Pu 3.27
Np: 0.5000 0.0000 0.5000  2 Pa 3.22, 8 Sb 3.27
Np: 0.0000 0.5000 0.5000  2 Pu 3.22, 8 Sb 3.26
Pu: 0.0000 0.0000 0.0000  2 Np 3.22, 8 Sb 3.27
Pa: 0.5000 0.5000 0.0000  2 Np 3.22, 8 Sb 3.26

## Properties
Its crystal system is tetragonal. The symmetry is P4/mmm (123). For the raw formation energy, the calculation gives -0.36 eV per atom.

=====

(2)
A plane-wave DFT calculation with PBE-GGA was carried out for Ce2DyPt after structural relaxation.

a = 3.6529 Å, b = 3.6529 Å, c = 10.4893 Å
α = 79.97°, β = 79.97°, γ = 60.00°
Last column: nearest neighbours and their distance in Å.
Fractional coordinates of all 4 atoms:
Ce: 0.1035 0.1035 0.6894  3 Pt 2.87, 1 Dy 3.19
Ce: 0.8965 0.8965 0.3106  3 Pt 2.87, 1 Dy 3.19
Dy: 0.0000 0.0000 0.0000  2 Ce 3.19
Pt: 0.5000 0.5000 0.5000  6 Ce 2.87

## Properties
Its crystal system is trigonal. The symmetry is R-3m (166). Its energy above the most stable polymorph in this dataset is 1.00 eV per formula unit.

=====

(3)
A plane-wave DFT calculation with PBE-GGA was carried out for AcCd9Pb2 after structural relaxation.

a = 6.1435 Å, b = 6.1435 Å, c = 10.1601 Å
α = 72.40°, β = 72.40°, γ = 60.00°
Last column: nearest neighbours and their distance in Å.
Fractional coordinates of all 12 atoms:
Cd: 0.5872 0.0790 0.7466  7 Cd 2.96-3.12
Cd: 0.5000 0.5000 0.5000  6 Cd 2.96
Cd: 0.4128 0.4128 0.2534  7 Cd 2.96-3.12
Cd: 0.3336 0.3336 0.9991  6 Cd 2.98-3.00
Cd: 0.0790 0.5872 0.7466  7 Cd 2.96-3.12
Cd: 0.5872 0.5872 0.7466  7 Cd 2.96-3.12
Cd: 0.9210 0.4128 0.2534  7 Cd 2.96-3.12
Cd: 0.4128 0.9210 0.2534  7 Cd 2.96-3.12
Cd: 0.6664 0.6664 0.0009  6 Cd 2.98-3.00
Pb: 0.1361 0.1361 0.5916  12 Cd 3.41-3.66
Pb: 0.8639 0.8639 0.4084  12 Cd 3.41-3.66
Ac: 0.0000 0.0000 0.0000  18 Cd 3.55-3.91, 2 Pb 3.89

## Properties
Its crystal system is trigonal. The symmetry is R-3m (166). The total energy is -1.742 eV/atom.

=====

(4)
A plane-wave DFT calculation with PBE-GGA was carried out for LaY2Cl after structural relaxation.

a = 3.5317 Å, b = 5.8572 Å, c = 5.9003 Å
α = 90.00°, β = 90.00°, γ = 90.00°
Last column: nearest neighbours and their distance in Å.
Fractional coordinates of all 4 atoms:
Cl: 0.5000 0.0000 0.5000  4 La 3.42, 4 Y 3.44, 2 Cl 3.53
La: 0.0000 0.5000 0.5000  4 Cl 3.42, 4 Y 3.44, 2 La 3.53
Y: 0.5000 0.5000 0.0000  6 Y 3.42-3.53, 4 La 3.44
Y: 0.0000 0.0000 0.0000  6 Y 3.42-3.53, 4 Cl 3.44

## Properties
Its crystal system is orthorhombic. The symmetry is Pmmm (47). Its energy above the most stable polymorph in this dataset is 1.38 eV per formula unit. For the raw formation energy, the calculation gives -0.33 eV per atom.

=====

(5)
A plane-wave DFT calculation with PBE-GGA was carried out for CuHgSCl after structural relaxation.

a = 4.0550 Å, b = 10.0251 Å, c = 18.3999 Å
α = 90.00°, β = 90.00°, γ = 90.00°
Last column: nearest neighbours and their distance in Å.
Fractional coordinates of all 32 atoms:
Cu: 0.0000 0.9019 0.6254  2 S 2.28, 2 Cl 2.37-2.41
Cu: 0.0000 0.5618 0.5675  2 S 2.25, 1 Cl 2.28
Cu: 0.0000 0.9382 0.0675  2 S 2.25, 1 Cl 2.28
Cu: 0.0000 0.0981 0.3746  2 S 2.28, 2 Cl 2.37-2.41
Cu: 0.0000 0.4382 0.4325  2 S 2.25, 1 Cl 2.28
Cu: 0.0000 0.4019 0.8746  2 S 2.28, 2 Cl 2.37-2.41
Cu: 0.0000 0.5981 0.1254  2 S 2.28, 2 Cl 2.37-2.41
Cu: 0.0000 0.0618 0.9325  2 S 2.25, 1 Cl 2.28
Cl: 0.0000 0.7485 0.7262  1 Cu 2.41
Cl: 0.0000 0.7515 0.2262  1 Cu 2.41
Cl: 0.0000 0.7708 0.5181  2 Cu 2.28-2.37
Cl: 0.0000 0.7292 0.0181  2 Cu 2.28-2.37
Cl: 0.0000 0.2708 0.9819  2 Cu 2.28-2.37
Cl: 0.0000 0.2485 0.7738  1 Cu 2.41
Cl: 0.0000 0.2292 0.4819  2 Cu 2.28-2.37
Cl: 0.0000 0.2515 0.2738  1 Cu 2.41
Hg: 0.5000 0.7599 0.3921  2 S 2.43-2.45
Hg: 0.5000 0.0283 0.7687  2 S 2.44-2.45
Hg: 0.5000 0.5283 0.7313  2 S 2.44-2.45
Hg: 0.5000 0.2401 0.6079  2 S 2.43-2.45
Hg: 0.5000 0.9717 0.2313  2 S 2.44-2.45
Hg: 0.5000 0.4717 0.2687  2 S 2.44-2.45
Hg: 0.5000 0.7401 0.8921  2 S 2.43-2.45
Hg: 0.5000 0.2599 0.1079  2 S 2.43-2.45
S: 0.5000 0.4963 0.1368  2 Cu 2.28, 2 Hg 2.43-2.44
S: 0.5000 0.5037 0.8632  2 Cu 2.28, 2 Hg 2.43-2.44
S: 0.5000 0.0037 0.6368  2 Cu 2.28, 2 Hg 2.43-2.44
S: 0.5000 0.9963 0.3632  2 Cu 2.28, 2 Hg 2.43-2.44
S: 0.5000 0.4842 0.6004  2 Cu 2.25, 2 Hg 2.45
S: 0.5000 0.9842 0.8996  2 Cu 2.25, 2 Hg 2.45
S: 0.5000 0.5158 0.3996  2 Cu 2.25, 2 Hg 2.45
S: 0.5000 0.0158 0.1004  2 Cu 2.25, 2 Hg 2.45

## Properties
Its crystal system is orthorhombic. The symmetry is Pbam (55). Its energy above the most stable polymorph in this dataset is 0.00 eV per formula unit. For the raw formation energy, the calculation gives -0.36 eV per atom.

=====

(6)
A plane-wave DFT calculation with PBE-GGA was carried out for CrCuSb3 after structural relaxation.

a = 4.9967 Å, b = 4.9967 Å, c = 4.9967 Å
α = 90.00°, β = 90.00°, γ = 90.00°
Last column: nearest neighbours and their distance in Å.
Fractional coordinates of all 5 atoms:
Sb: 0.5000 0.0000 0.0000  2 Cr 2.50
Sb: 0.0000 0.5000 0.0000  2 Cr 2.50
Sb: 0.0000 0.0000 0.5000  2 Cr 2.50
Cr: 0.0000 0.0000 0.0000  6 Sb 2.50
Cu: 0.5000 0.5000 0.5000  12 Sb 3.53

## Properties
Its crystal system is cubic. The symmetry is Pm-3m (221). Its energy above the most stable polymorph in this dataset is 0.00 eV per formula unit. For the raw formation energy, the calculation gives 0.64 eV per atom.

=====

(7)
A plane-wave DFT calculation with PBE-GGA was carried out for NdSm2Hg4 after structural relaxation.

a = 5.1906 Å, b = 5.1906 Å, c = 9.4166 Å
α = 74.00°, β = 74.00°, γ = 60.00°
Last column: nearest neighbours and their distance in Å.
Fractional coordinates of all 7 atoms:
Hg: 0.1264 0.1264 0.6209  4 Sm 3.12-3.15, 1 Nd 3.38
Hg: 0.8736 0.8736 0.3791  4 Sm 3.12-3.15, 1 Nd 3.38
Hg: 0.6217 0.6217 0.1350  3 Nd 3.23, 3 Sm 3.24
Hg: 0.3783 0.3783 0.8650  3 Nd 3.23, 3 Sm 3.24
Nd: 0.0000 0.0000 0.0000  8 Hg 3.23-3.38
Sm: 0.7573 0.7573 0.7281  7 Hg 3.12-3.24
Sm: 0.2427 0.2427 0.2719  7 Hg 3.12-3.24

## Properties
Its crystal system is trigonal. The symmetry is R-3m (166). Its energy above the most stable polymorph in this dataset is 0.00 eV per formula unit.

=====

(8)
A plane-wave DFT calculation with PBE-GGA was carried out for CaScZn3 after structural relaxation.

a = 5.1552 Å, b = 5.1552 Å, c = 5.1552 Å
α = 90.00°, β = 90.00°, γ = 90.00°
Last column: nearest neighbours and their distance in Å.
Fractional coordinates of all 5 atoms:
Sc: 0.0000 0.0000 0.0000  6 Zn 2.58
Zn: 0.0000 0.5000 0.0000  2 Sc 2.58
Zn: 0.5000 0.0000 0.0000  2 Sc 2.58
Zn: 0.0000 0.0000 0.5000  2 Sc 2.58
Ca: 0.5000 0.5000 0.5000  12 Zn 3.65

## Properties
Its crystal system is cubic. The symmetry is Pm-3m (221). Its energy above the most stable polymorph in this dataset is 0.00 eV per formula unit.

=====

(9)
A plane-wave DFT calculation with PBE-GGA was carried out for MgCu2Pd6 after structural relaxation.

a = 3.9684 Å, b = 8.1928 Å, c = 8.1926 Å
α = 90.00°, β = 90.00°, γ = 90.00°
Last column: nearest neighbours and their distance in Å.
Fractional coordinates of all 18 atoms:
Pd: 0.0000 0.3283 0.4916  1 Mg 2.69, 3 Cu 2.70-2.72, 8 Pd 2.76-2.82
Pd: 0.5000 0.4916 0.6717  1 Mg 2.69, 3 Cu 2.70-2.72, 8 Pd 2.76-2.82
Pd: 0.5000 0.1552 0.6552  2 Mg 2.68, 4 Cu 2.75-2.76, 6 Pd 2.76-2.78
Pd: 0.5000 0.8283 0.0084  1 Mg 2.69, 3 Cu 2.70-2.72, 8 Pd 2.76-2.82
Pd: 0.0000 0.6552 0.8448  2 Mg 2.68, 4 Cu 2.75-2.76, 6 Pd 2.76-2.78
Pd: 0.5000 0.5084 0.3283  1 Mg 2.69, 3 Cu 2.70-2.72, 8 Pd 2.76-2.82
Pd: 0.0000 0.9916 0.8283  1 Mg 2.69, 3 Cu 2.70-2.72, 8 Pd 2.76-2.82
Pd: 0.0000 0.6717 0.5084  1 Mg 2.69, 3 Cu 2.70-2.72, 8 Pd 2.76-2.82
Pd: 0.0000 0.0084 0.1717  1 Mg 2.69, 3 Cu 2.70-2.72, 8 Pd 2.76-2.82
Pd: 0.0000 0.3448 0.1552  2 Mg 2.68, 4 Cu 2.75-2.76, 6 Pd 2.76-2.78
Pd: 0.5000 0.1717 0.9916  1 Mg 2.69, 3 Cu 2.70-2.72, 8 Pd 2.76-2.82
Pd: 0.5000 0.8448 0.3448  2 Mg 2.68, 4 Cu 2.75-2.76, 6 Pd 2.76-2.78
Cu: 0.5000 0.1794 0.3206  10 Pd 2.70-2.76, 2 Mg 2.87
Cu: 0.0000 0.6794 0.1794  10 Pd 2.70-2.76, 2 Mg 2.87
Cu: 0.0000 0.3206 0.8206  10 Pd 2.70-2.76, 2 Mg 2.87
Cu: 0.5000 0.8206 0.6794  10 Pd 2.70-2.76, 2 Mg 2.87
Mg: 0.5000 0.5000 0.0000  8 Pd 2.68-2.69, 4 Cu 2.87
Mg: 0.0000 0.0000 0.5000  8 Pd 2.68-2.69, 4 Cu 2.87

## Properties
Its crystal system is tetragonal. The symmetry is P4_2/mnm (136). Its energy above the most stable polymorph in this dataset is 0.00 eV per formula unit.

=====

(10)
A plane-wave DFT calculation with PBE-GGA was carried out for Al2SbCl after structural relaxation.

a = 5.2470 Å, b = 5.2470 Å, c = 3.2368 Å
α = 90.00°, β = 90.00°, γ = 90.00°
Last column: nearest neighbours and their distance in Å.
Fractional coordinates of all 4 atoms:
Sb: 0.0000 0.5000 0.5000  8 Al 3.08, 2 Sb 3.24
Al: 0.0000 0.0000 0.0000  4 Cl 3.08, 4 Sb 3.08, 2 Al 3.24
Al: 0.5000 0.5000 0.0000  4 Cl 3.08, 4 Sb 3.08, 2 Al 3.24
Cl: 0.5000 0.0000 0.5000  8 Al 3.08, 2 Cl 3.24

## Properties
Its crystal system is tetragonal. The symmetry is P4/mmm (123). Its energy above the most stable polymorph in this dataset is 1.01 eV per formula unit. For the raw formation energy, the calculation gives -0.01 eV per atom.